(1)
Ac3Zn3Cu | GGA-PBE | optimized geometry

```
data_Ac3Zn3Cu
_chemical_formula_sum 'Ac6 Zn6 Cu2'
_symmetry_space_group_name_H-M 'I m m 2'
_symmetry_Int_Tables_number 44
_cell_length_a 4.0237
_cell_length_b 4.6600
_cell_length_c 20.6470
_cell_angle_alpha 90.00
_cell_angle_beta 90.00
_cell_angle_gamma 90.00
loop_
_symmetry_equiv_pos_as_xyz
'x,y,z'
'-x,-y,z'
'-x,y,z'
'x,-y,z'
'x+1/2,y+1/2,z+1/2'
'-x+1/2,-y+1/2,z+1/2'
'-x+1/2,y+1/2,z+1/2'
'x+1/2,-y+1/2,z+1/2'
loop_
_atom_site_label
_atom_site_type_symbol
_atom_site_fract_x
_atom_site_fract_y
_atom_site_fract_z
Ac1 Ac 0.0000 0.0000 0.0000
Ac2 Ac 0.0000 0.0000 0.3728
Ac3 Ac 0.0000 0.5000 0.1917
Zn1 Zn 0.0000 0.0000 0.5566
Zn2 Zn 0.0000 0.0000 0.8210
Zn3 Zn 0.0000 0.5000 0.6268
Cu1 Cu 0.0000 0.5000 0.7526
```

Values from the calculation:
Calculated total energy ... -3.12 eV/atom
Theoretical density ... 8.07 g/cm3
Energy relative to the elements ... -0.229 eV per atom



(2)
K2TaSe | GGA-PBE | optimized geometry

```
data_K2TaSe
_chemical_formula_sum 'K2 Ta1 Se1'
_symmetry_space_group_name_H-M 'P 4/m m m'
_symmetry_Int_Tables_number 123
_symmetry_space_group_name_Hall '-P 4 2'
_cell_length_a 4.6130
_cell_length_b 4.6130
_cell_length_c 5.5072
_cell_angle_alpha 90.00
_cell_angle_beta 90.00
_cell_angle_gamma 90.00
loop_
_atom_site_label
_atom_site_type_symbol
_atom_site_fract_x
_atom_site_fract_y
_atom_site_fract_z
K1 K 0.0000 0.0000 0.2456
Ta1 Ta 0.5000 0.5000 0.5000
Se1 Se 0.5000 0.5000 0.0000
```

Values from the calculation:
Calculated total energy ... -3.77 eV/atom
Theoretical density ... 4.79 g/cm3
Raw formation energy ... 616 meV/atom



(3)
PrHg2P2Pt7 | GGA-PBE | optimized geometry

```
data_PrHg2P2Pt7
_chemical_formula_sum 'Pr2 Hg4 P4 Pt14'
_symmetry_space_group_name_H-M 'C 1 2/m 1'
_symmetry_Int_Tables_number 12
_cell_length_a 5.6859
_cell_length_b 5.6849
_cell_length_c 14.8986
_cell_angle_alpha 90.00
_cell_angle_beta 100.91
_cell_angle_gamma 90.00
loop_
_symmetry_equiv_pos_as_xyz
'x,y,z'
'-x,-y,-z'
'-x,y,-z'
'x,-y,z'
'x+1/2,y+1/2,z'
'-x+1/2,-y+1/2,-z'
'-x+1/2,y+1/2,-z'
'x+1/2,-y+1/2,z'
loop_
_atom_site_label
_atom_site_type_symbol
_atom_site_fract_x
_atom_site_fract_y
_atom_site_fract_z
Pr1 Pr 0.0000 0.0000 0.0000
Hg1 Hg 0.2047 0.0000 0.4113
P1 P 0.1218 0.5000 0.2449
Pt1 Pt 0.0000 0.5000 0.0000
Pt2 Pt 0.1708 0.2499 0.8415
Pt3 Pt 0.1969 0.5000 0.3961
```

Values from the calculation:
Calculated total energy ... -5.33 eV/atom
Theoretical density ... 13.83 g/cm3
Energy relative to the elements ... -0.458 eV per atom



(4)
TaTcP2 | GGA-PBE | optimized geometry

```
data_TaTcP2
_chemical_formula_sum 'Ta3 Tc3 P6'
_symmetry_space_group_name_H-M 'R -3 m'
_symmetry_Int_Tables_number 166
_symmetry_space_group_name_Hall '-R 3 2"'
_cell_length_a 2.9882
_cell_length_b 2.9882
_cell_length_c 22.7190
_cell_angle_alpha 90.00
_cell_angle_beta 90.00
_cell_angle_gamma 120.00
loop_
_atom_site_label
_atom_site_type_symbol
_atom_site_fract_x
_atom_site_fract_y
_atom_site_fract_z
Ta1 Ta 0.0000 0.0000 0.0000
Tc1 Tc 0.0000 0.0000 0.5000
P1 P 0.0000 0.0000 0.2442
```

Values from the calculation:
Calculated total energy ... -8.44 eV/atom
Theoretical density ... 9.67 g/cm3
Energy relative to the elements ... -0.184 eV per atom
Relative energy among the computed polymorphs ... 475 meV per atom